# 1
First-principles (GGA-PBE) data for an optimized crystal structure of TbNd6Ho, as listed in the Alexandria database.

a = 7.332 Å, b = 10.265 Å, c = 14.597 Å
α = 90.00°, β = 90.00°, γ = 90.00°
Space group Fmmm (No. 69)
One atom of each set of equivalent atoms:
Tb  0.000  0.000  0.000
Nd  0.000  0.000  0.250
Nd  0.250  0.250  0.123
Ho  0.000  0.000  0.500

Summary:
Formation enthalpy at 0 K in meV per atom: 16
N(E_F) in states/eV/f.u.: 12.385



# 2
First-principles (GGA-PBE) data for an optimized crystal structure of CsCaGeSeO, as listed in the Alexandria database.

a = 4.625 Å, b = 3.798 Å, c = 7.590 Å
α = 90.00°, β = 92.69°, γ = 90.00°
Space group Pm (No. 6)
One atom of each set of equivalent atoms:
Cs  0.000  0.000  0.000
Ca  0.013  0.000  0.498
Ge  0.523  0.500  0.316
Se  0.489  0.500  0.656
O  0.928  0.500  0.328

Summary:
Formation energy from raw total energies in eV per atom: -1.362
Offset from the most stable computed form in kJ/mol of formula units: 0.0
N(E_F) in states/eV/f.u.: 0.774



# 3
First-principles (GGA-PBE) data for an optimized crystal structure of MgHg5Pb, as listed in the Alexandria database.

a = 9.608 Å, b = 12.114 Å, c = 6.780 Å
α = 90.00°, β = 110.11°, γ = 90.00°
Space group C2/c (No. 15)
One atom of each set of equivalent atoms:
Mg  0.000  0.026  0.250
Hg  0.000  0.275  0.250
Hg  0.174  0.142  0.645
Hg  0.246  0.132  0.128
Pb  0.000  0.500  0.000

Summary:
Formation enthalpy at 0 K in meV per atom: -14
N(E_F) in states/eV/f.u.: 2.589



# 4
First-principles (GGA-PBE) data for an optimized crystal structure of Ti5In3Au2, as listed in the Alexandria database.

a = 9.878 Å, b = 15.240 Å, c = 5.473 Å
α = 90.00°, β = 90.00°, γ = 90.00°
Space group Ibam (No. 72)
One atom of each set of equivalent atoms:
Ti  0.000  0.000  0.250
Ti  0.000  0.310  0.250
Ti  0.061  0.163  0.000
In  0.000  0.500  0.250
In  0.222  0.179  0.500
Au  0.203  0.407  0.500

Summary:
Formation enthalpy at 0 K in meV per atom: 48
N(E_F) in states/eV/f.u.: 10.957



# 5
First-principles (GGA-PBE) data for an optimized crystal structure of Li2FeTc, as listed in the Alexandria database.

a = 2.509 Å, b = 4.632 Å, c = 4.605 Å
α = 90.00°, β = 97.39°, γ = 90.00°
Space group P2/m (No. 10)
One atom of each set of equivalent atoms:
Li  0.212  0.000  0.250
Fe  0.000  0.500  0.500
Tc  0.500  0.500  0.000

Summary:
Formation enthalpy at 0 K in meV per atom: 266
Offset from the most stable computed form in kJ/mol of formula units: 26.3
N(E_F) in states/eV/f.u.: 3.683



# 6
First-principles (GGA-PBE) data for an optimized crystal structure of CrPb2Se, as listed in the Alexandria database.

a = 4.400 Å, b = 4.400 Å, c = 10.537 Å
α = 90.00°, β = 90.00°, γ = 90.00°
Space group I-4m2 (No. 119)
One atom of each set of equivalent atoms:
Cr  0.000  0.000  0.000
Pb  0.000  0.000  0.500
Pb  0.000  0.500  0.750
Se  0.000  0.500  0.250

Summary:
Formation energy from raw total energies in eV per atom: 0.298
N(E_F) in states/eV/f.u.: 1.926